! Mg3ScAs SCAN PBEsol geometry; values from VASP
&SYSTEM
  ibrav = 0, nat = 5, ntyp = 3
/
ATOMIC_SPECIES
Mg 24.30 Mg.upf
Sc 44.96 Sc.upf
As 74.92 As.upf
CELL_PARAMETERS angstrom
5.0171 0.0000 0.0000
0.0000 5.0171 0.0000
0.0000 0.0000 5.0171
ATOMIC_POSITIONS crystal
Mg 0.0000 0.0000 0.5000
Mg 0.0000 0.5000 0.0000
Mg 0.5000 0.0000 0.0000
Sc 0.5000 0.5000 0.5000
As 0.0000 0.0000 0.0000
! Space-group type: Pm-3m
! Formation energy from the elements: 0.134 eV per atom